{"formula": "Nd2Y3Er6Zr", "functional": "PBE", "state": "relaxed", "lattice": [[-5.545, 2.277, 1.117], [1.122, -2.819, -5.289], [-1.704, -9.823, 6.042]], "species": ["Er", "Er", "Er", "Er", "Er", "Er", "Y", "Y", "Y", "Nd", "Nd", "Zr"], "fractional_positions": [[0.082, 0.409, 0.246], [0.756, 0.756, 0.246], [0.244, 0.244, 0.754], [0.591, 0.918, 0.754], [0.409, 0.082, 0.246], [0.918, 0.591, 0.754], [0.166, 0.834, 0.500], [0.834, 0.166, 0.500], [0.500, 0.500, 0.500], [0.333, 0.667, 0.000], [0.667, 0.333, 0.000], [0.000, 0.000, 0.000]], "dft_energy_ev_per_atom": -5.3494, "rho_g_cm3": 7.4, "sg": "C2/m (12)", "delta_e_f_ev_per_atom": 0.06}